(1)
Here is crystalline K2ZnCd at its relaxed geometry from Alexandria. Energies are from GGA-PBEsol.

Structure (POSCAR):
```
K2ZnCd
1.0
4.652 0.000 0.000
0.000 2.577 6.162
0.000 -2.577 6.162
K Zn Cd
2 1 1
Direct
0.000 0.000 0.000
0.500 0.299 0.299
0.000 0.703 0.703
0.500 0.599 0.599
```

**E above lowest polymorph**: 0.036 eV/atom
**Space-group type**: No. 38

---

(2)
Here is crystalline K2ZnCd at its relaxed geometry from Alexandria. Energies are from GGA-PBEsol.

Structure (POSCAR):
```
K2ZnCd
1.0
-2.081 2.935 5.631
2.081 -2.935 5.631
2.081 2.935 -5.631
K Zn Cd
2 1 1
Direct
0.000 0.000 0.000
0.697 0.197 0.500
0.268 0.768 0.500
0.415 0.415 0.000
```

**E above lowest polymorph**: 0.049 eV/atom
**Space-group type**: No. 44

---

(3)
Here is crystalline KZn2Cd2 at its relaxed geometry from Alexandria. Energies are from GGA-PBEsol.

Structure (POSCAR):
```
KZn2Cd2
1.0
-2.302 2.302 5.546
2.302 -2.302 5.546
2.302 2.302 -5.546
K Zn Cd
1 2 2
Direct
0.000 0.000 0.000
0.387 0.387 0.000
0.613 0.613 0.000
0.250 0.750 0.500
0.750 0.250 0.500
```

**Space-group type**: No. 139

---

(4)
Here is crystalline KZn2Cd at its relaxed geometry from Alexandria. Energies are from GGA-PBEsol.

Structure (POSCAR):
```
KZn2Cd
1.0
-2.511 2.511 3.588
2.511 -2.511 3.588
2.511 2.511 -3.588
K Zn Cd
1 2 1
Direct
0.000 0.000 0.000
0.500 0.500 0.000
0.750 0.250 0.500
0.250 0.750 0.500
```

**Space-group type**: No. 119

---

(5)
Here is crystalline KZn2Cd at its relaxed geometry from Alexandria. Energies are from GGA-PBEsol.

Structure (POSCAR):
```
KZn2Cd
1.0
2.262 1.306 6.099
-2.262 1.306 6.099
0.000 -2.612 6.099
K Zn Cd
1 2 1
Direct
0.000 0.000 0.000
0.184 0.184 0.184
0.509 0.509 0.509
0.814 0.814 0.814
```

**Space-group type**: No. 160

---

(6)
Here is crystalline K2ZnCd at its relaxed geometry from Alexandria. Energies are from GGA-PBEsol.

Structure (POSCAR):
```
K2ZnCd
1.0
0.000 4.116 4.116
4.116 0.000 4.116
4.116 4.116 0.000
K Zn Cd
2 1 1
Direct
0.250 0.250 0.250
0.750 0.750 0.750
0.000 0.000 0.000
0.500 0.500 0.500
```

**E above lowest polymorph**: 0.161 eV/atom
**Space-group type**: No. 225

---

(7)
Here is crystalline KZn2Cd at its relaxed geometry from Alexandria. Energies are from GGA-PBEsol.

Structure (POSCAR):
```
KZn2Cd
1.0
2.865 0.000 0.000
0.000 3.836 0.000
0.000 0.000 8.097
K Zn Cd
1 2 1
Direct
0.000 0.000 0.000
0.000 0.000 0.448
0.500 0.500 0.309
0.500 0.500 0.667
```

**Space-group type**: No. 25

---

(8)
Here is crystalline K2ZrCd at its relaxed geometry from Alexandria. Energies are from GGA-PBEsol.

Structure (POSCAR):
```
K2ZrCd
1.0
3.530 0.000 0.000
0.000 3.526 0.000
-0.034 0.000 11.411
K Zr Cd
2 1 1
Direct
0.000 0.000 0.000
0.494 0.500 0.363
0.997 0.000 0.636
0.498 0.500 0.771
```

**Space-group type**: No. 6

---

Computed Fermi-level density of states, in the same sequence as the records: 2.367; 2.084; 2.344; 1.830; 1.111; 2.955; 1.356; 3.611 states/eV/f.u..
Computed formation enthalpy at 0 K, in the same sequence as the records: 8.2; 9.5; 3.4; 27.3; 1.7; 20.3; 12.3; 36.3 kJ per mole of atoms.
Computed DFT total energy, in the same sequence as the records: -1.18; -1.16; -1.30; -1.09; -1.36; -1.05; -1.25; -2.76 eV/atom.